This record from the Alexandria database describes a relaxed structure of Nd3W2N6. The functional is PBE.

Geometry as POSCAR:
```
Nd3W2N6
1.0
-2.001 2.001 9.795
2.001 -2.001 9.795
2.001 2.001 -9.795
Nd W N
3 2 6
direct
0.000 0.000 0.000 Nd
0.181 0.181 0.000 Nd
0.819 0.819 0.000 Nd
0.402 0.402 0.000 W
0.598 0.598 0.000 W
0.087 0.587 0.500 N
0.303 0.303 0.000 N
0.413 0.913 0.500 N
0.587 0.087 0.500 N
0.697 0.697 0.000 N
0.913 0.413 0.500 N
```

Uncorrected formation energy ... -11.6 eV/f.u.
Mass density ... 9.36 g/cm3
Space group ... I4/mmm